A plane-wave DFT calculation with GGA-PBE was carried out for a relaxed Y2ScPt2 crystal.

```
Y2ScPt2
1.0
-2.329 2.329 5.776
2.329 -2.329 5.776
2.329 2.329 -5.776
Y Sc Pt
2 1 2
direct
0.250 0.750 0.500
0.750 0.250 0.500
0.000 0.000 0.000
0.389 0.389 0.000
0.611 0.611 0.000
```

Computed properties:
N(E_F) = 5.96 states/eV per cell
volume = 25.06 Å³/atom
excess energy over the best structure of this formula in the dataset = 376 meV/atom
ΔH_f (0 K) = -0.6821 eV/atom

***

A plane-wave DFT calculation with GGA-PBE was carried out for a relaxed YSc4Pt5 crystal.

```
YSc4Pt5
1.0
3.291 0.000 0.000
0.000 3.291 0.000
0.000 0.000 17.171
Y Sc Pt
1 4 5
direct
0.000 0.000 0.000
0.000 0.000 0.207
0.000 0.000 0.403
0.000 0.000 0.597
0.000 0.000 0.793
0.500 0.500 0.116
0.500 0.500 0.306
0.500 0.500 0.500
0.500 0.500 0.694
0.500 0.500 0.884
```

Computed properties:
N(E_F) = 5.66 states/eV per cell
volume = 18.60 Å³/atom
ΔH_f (0 K) = -1.2266 eV/atom

***

A plane-wave DFT calculation with GGA-PBE was carried out for a relaxed YScPt3 crystal.

```
YScPt3
1.0
4.842 0.000 0.000
0.000 4.842 0.000
0.000 0.000 4.842
Y Sc Pt
1 1 3
direct
0.000 0.000 0.000
0.500 0.500 0.500
0.000 0.500 0.500
0.500 0.000 0.500
0.500 0.500 0.000
```

Computed properties:
N(E_F) = 2.43 states/eV per cell
volume = 22.70 Å³/atom
excess energy over the best structure of this formula in the dataset = 0 meV/atom
ΔH_f (0 K) = -0.3366 eV/atom

***

A plane-wave DFT calculation with GGA-PBE was carried out for a relaxed Y2Sc2Pt crystal.

```
Y2Sc2Pt
1.0
7.177 0.000 0.000
0.000 7.177 0.000
0.000 0.000 5.192
Y Sc Pt
4 4 2
direct
0.154 0.346 0.000
0.346 0.846 0.000
0.654 0.154 0.000
0.846 0.654 0.000
0.156 0.656 0.500
0.344 0.156 0.500
0.656 0.844 0.500
0.844 0.344 0.500
0.000 0.000 0.000
0.500 0.500 0.000
```

Computed properties:
N(E_F) = 14.24 states/eV per cell
volume = 26.75 Å³/atom
excess energy over the best structure of this formula in the dataset = 216 meV/atom
ΔH_f (0 K) = -0.1717 eV/atom

***

A plane-wave DFT calculation with GGA-PBE was carried out for a relaxed YSc2Pt2 crystal.

```
YSc2Pt2
1.0
7.584 0.000 0.000
0.000 7.584 0.000
0.000 0.000 3.666
Y Sc Pt
2 4 4
direct
0.000 0.000 0.000
0.500 0.500 0.000
0.154 0.346 0.500
0.346 0.846 0.500
0.654 0.154 0.500
0.846 0.654 0.500
0.139 0.639 0.000
0.361 0.139 0.000
0.639 0.861 0.000
0.861 0.361 0.000
```

Computed properties:
N(E_F) = 7.83 states/eV per cell
volume = 21.09 Å³/atom
excess energy over the best structure of this formula in the dataset = 0 meV/atom
ΔH_f (0 K) = -1.0074 eV/atom

***

A plane-wave DFT calculation with GGA-PBE was carried out for a relaxed Y2Sc3Pt4 crystal.

```
Y2Sc3Pt4
1.0
7.295 0.000 0.000
0.000 7.350 0.000
-2.619 0.000 7.013
Y Sc Pt
4 6 8
direct
0.192 0.174 0.068
0.192 0.326 0.568
0.808 0.674 0.432
0.808 0.826 0.932
0.249 0.662 0.247
0.249 0.838 0.747
0.500 0.000 0.500
0.500 0.500 0.000
0.751 0.162 0.253
0.751 0.338 0.753
0.087 0.544 0.855
0.087 0.956 0.355
0.500 0.138 0.870
0.500 0.362 0.370
0.500 0.638 0.630
0.500 0.862 0.130
0.913 0.044 0.645
0.913 0.456 0.145
```

Computed properties:
N(E_F) = 12.40 states/eV per cell
volume = 20.89 Å³/atom
ΔH_f (0 K) = -1.1908 eV/atom

***

A plane-wave DFT calculation with GGA-PBE was carried out for a relaxed Y3Sc7Pt4 crystal.

```
Y3Sc7Pt4
1.0
8.245 -2.284 0.000
8.245 2.284 0.000
-6.099 0.000 8.429
Y Sc Pt
3 7 4
direct
0.000 0.000 0.000
0.310 0.310 0.307
0.690 0.690 0.693
0.000 0.000 0.500
0.165 0.165 0.421
0.308 0.308 0.969
0.491 0.491 0.709
0.509 0.509 0.291
0.692 0.692 0.031
0.835 0.835 0.579
0.106 0.106 0.839
0.330 0.330 0.727
0.670 0.670 0.273
0.894 0.894 0.161
```

Computed properties:
N(E_F) = 20.18 states/eV per cell
volume = 22.67 Å³/atom
ΔH_f (0 K) = -0.7848 eV/atom

***

A plane-wave DFT calculation with GGA-PBE was carried out for a relaxed Y3ScPt crystal.

```
Y3ScPt
1.0
5.239 0.000 0.000
0.000 5.239 0.000
0.000 0.000 5.239
Y Sc Pt
3 1 1
direct
0.000 0.000 0.500
0.000 0.500 0.000
0.500 0.000 0.000
0.000 0.000 0.000
0.500 0.500 0.500
```

Computed properties:
N(E_F) = 5.52 states/eV per cell
volume = 28.76 Å³/atom
excess energy over the best structure of this formula in the dataset = 1018 meV/atom
ΔH_f (0 K) = 0.7903 eV/atom

***

A plane-wave DFT calculation with GGA-PBE was carried out for a relaxed YSc5Pt6 crystal.

```
YSc5Pt6
1.0
2.378 -7.157 0.000
2.378 7.157 0.000
0.000 0.000 6.546
Y Sc Pt
1 5 6
direct
0.000 0.000 0.000
0.000 0.000 0.500
0.332 0.668 0.000
0.334 0.666 0.500
0.666 0.334 0.500
0.668 0.332 0.000
0.173 0.827 0.254
0.173 0.827 0.746
0.500 0.500 0.265
0.500 0.500 0.735
0.827 0.173 0.254
0.827 0.173 0.746
```

Computed properties:
N(E_F) = 6.25 states/eV per cell
volume = 18.57 Å³/atom
ΔH_f (0 K) = -1.2212 eV/atom

***

A plane-wave DFT calculation with GGA-PBE was carried out for a relaxed YSc2Pt2 crystal.

```
YSc2Pt2
1.0
-2.178 2.178 5.837
2.178 -2.178 5.837
2.178 2.178 -5.837
Y Sc Pt
1 2 2
direct
0.000 0.000 0.000
0.250 0.750 0.500
0.750 0.250 0.500
0.387 0.387 0.000
0.613 0.613 0.000
```

Computed properties:
N(E_F) = 9.10 states/eV per cell
volume = 22.15 Å³/atom
excess energy over the best structure of this formula in the dataset = 3 meV/atom
ΔH_f (0 K) = -1.0048 eV/atom

***

A plane-wave DFT calculation with GGA-PBE was carried out for a relaxed YScPt4 crystal.

```
YScPt4
1.0
0.000 3.807 3.807
3.807 0.000 3.807
3.807 3.807 0.000
Y Sc Pt
1 1 4
direct
0.000 0.000 0.000
0.250 0.250 0.250
0.126 0.625 0.625
0.625 0.126 0.625
0.625 0.625 0.126
0.625 0.625 0.625
```

Computed properties:
N(E_F) = 4.41 states/eV per cell
volume = 18.39 Å³/atom
ΔH_f (0 K) = -1.0300 eV/atom

***

A plane-wave DFT calculation with GGA-PBE was carried out for a relaxed Y4ScPt crystal.

```
Y4ScPt
1.0
0.000 4.355 4.355
4.355 0.000 4.355
4.355 4.355 0.000
Y Sc Pt
4 1 1
direct
0.125 0.125 0.125
0.125 0.125 0.626
0.125 0.626 0.125
0.626 0.125 0.125
0.500 0.500 0.500
0.750 0.750 0.750
```

Computed properties:
N(E_F) = 7.12 states/eV per cell
volume = 27.53 Å³/atom
ΔH_f (0 K) = 0.3773 eV/atom

***

A plane-wave DFT calculation with GGA-PBE was carried out for a relaxed Y2Sc3Pt2 crystal.

```
Y2Sc3Pt2
1.0
5.824 -1.863 0.000
5.824 1.863 0.000
-3.823 0.000 7.565
Y Sc Pt
2 3 2
direct
0.151 0.151 0.302
0.849 0.849 0.698
0.382 0.382 0.062
0.500 0.500 0.500
0.618 0.618 0.938
0.163 0.163 0.734
0.837 0.837 0.266
```

Computed properties:
N(E_F) = 9.37 states/eV per cell
volume = 23.45 Å³/atom
ΔH_f (0 K) = -0.7935 eV/atom

***

A plane-wave DFT calculation with GGA-PBE was carried out for a relaxed ScZn2Pt crystal.

```
ScZn2Pt
1.0
-1.924 1.924 9.721
1.924 -1.924 9.721
1.924 1.924 -9.721
Sc Zn Pt
2 4 2
direct
0.000 0.000 0.000
0.750 0.250 0.500
0.150 0.625 0.025
0.375 0.400 0.525
0.600 0.125 0.975
0.875 0.850 0.475
0.250 0.750 0.500
0.500 0.500 0.000
```

Computed properties:
N(E_F) = 5.60 states/eV per cell
volume = 18.00 Å³/atom
ΔH_f (0 K) = -0.3954 eV/atom

***

A plane-wave DFT calculation with GGA-PBE was carried out for a relaxed Sc3Zn9Pt2 crystal.

```
Sc3Zn9Pt2
1.0
-2.137 4.707 5.808
2.137 -4.707 5.808
2.137 4.707 -5.808
Sc Zn Pt
3 9 2
direct
0.000 0.000 0.000
0.296 0.296 0.000
0.704 0.704 0.000
0.018 0.648 0.370
0.137 0.862 0.275
0.278 0.648 0.630
0.413 0.138 0.275
0.500 0.000 0.500
0.587 0.862 0.725
0.722 0.352 0.370
0.863 0.138 0.725
0.982 0.352 0.630
0.338 0.500 0.838
0.662 0.500 0.162
```

Computed properties:
N(E_F) = 7.68 states/eV per cell
volume = 16.69 Å³/atom
ΔH_f (0 K) = -0.4517 eV/atom

***

A plane-wave DFT calculation with GGA-PBE was carried out for a relaxed Sc2Zn3Pt2 crystal.

```
Sc2Zn3Pt2
1.0
4.623 -2.111 0.000
4.623 2.111 0.000
-2.240 0.000 6.203
Sc Zn Pt
2 3 2
direct
0.147 0.147 0.275
0.853 0.853 0.725
0.381 0.381 0.060
0.500 0.500 0.500
0.619 0.619 0.940
0.150 0.150 0.699
0.850 0.850 0.301
```

Computed properties:
N(E_F) = 4.20 states/eV per cell
volume = 17.30 Å³/atom
ΔH_f (0 K) = -0.7880 eV/atom

***

A plane-wave DFT calculation with GGA-PBE was carried out for a relaxed ScZnPt2 crystal.

```
ScZnPt2
1.0
3.519 0.000 0.000
0.000 3.519 0.000
0.000 0.000 5.425
Sc Zn Pt
1 1 2
direct
0.000 0.000 0.000
0.500 0.500 0.302
0.000 0.000 0.483
0.500 0.500 0.793
```

Computed properties:
N(E_F) = 1.56 states/eV per cell
volume = 16.80 Å³/atom
ΔH_f (0 K) = -0.7964 eV/atom

***

A plane-wave DFT calculation with GGA-PBE was carried out for a relaxed ScZn2Pt crystal.

```
ScZn2Pt
1.0
2.972 0.000 0.000
0.000 4.611 0.000
-0.248 0.000 4.982
Sc Zn Pt
1 2 1
direct
0.000 0.000 0.000
0.461 0.500 0.749
0.539 0.500 0.251
0.500 0.000 0.500
```

Computed properties:
N(E_F) = 1.89 states/eV per cell
volume = 17.07 Å³/atom
ΔH_f (0 K) = -0.5404 eV/atom

***

A plane-wave DFT calculation with GGA-PBE was carried out for a relaxed ScZn3Pt crystal.

```
ScZn3Pt
1.0
6.275 0.000 0.000
0.000 6.275 0.000
0.000 0.000 6.275
Sc Zn Pt
3 9 3
direct
0.000 0.000 0.500
0.000 0.500 0.000
0.500 0.000 0.000
0.000 0.000 0.000
0.280 0.280 0.280
0.280 0.280 0.720
0.280 0.720 0.280
0.280 0.720 0.720
0.720 0.280 0.280
0.720 0.280 0.720
0.720 0.720 0.280
0.720 0.720 0.720
0.000 0.500 0.500
0.500 0.000 0.500
0.500 0.500 0.000
```

Computed properties:
N(E_F) = 7.27 states/eV per cell
volume = 16.48 Å³/atom
excess energy over the best structure of this formula in the dataset = 0 meV/atom
ΔH_f (0 K) = -0.5701 eV/atom

***

A plane-wave DFT calculation with GGA-PBE was carried out for a relaxed Sc2ZnPt2 crystal.

```
Sc2ZnPt2
1.0
-2.235 2.235 5.370
2.235 -2.235 5.370
2.235 2.235 -5.370
Sc Zn Pt
2 1 2
direct
0.250 0.750 0.500
0.750 0.250 0.500
0.000 0.000 0.000
0.382 0.382 0.000
0.618 0.618 0.000
```

Computed properties:
N(E_F) = 3.48 states/eV per cell
volume = 21.46 Å³/atom
ΔH_f (0 K) = -0.6712 eV/atom

***

A plane-wave DFT calculation with GGA-PBE was carried out for a relaxed ScZn2Pt crystal.

```
ScZn2Pt
1.0
2.700 -4.256 0.000
2.700 4.256 0.000
0.000 0.000 2.886
Sc Zn Pt
1 2 1
direct
0.000 0.000 0.000
0.000 0.500 0.500
0.500 0.000 0.500
0.500 0.500 0.000
```

Computed properties:
N(E_F) = 2.63 states/eV per cell
volume = 16.59 Å³/atom
ΔH_f (0 K) = -0.3617 eV/atom

***

A plane-wave DFT calculation with GGA-PBE was carried out for a relaxed Sc2ZnPt2 crystal.

```
Sc2ZnPt2
1.0
-1.924 1.924 6.898
1.924 -1.924 6.898
1.924 1.924 -6.898
Sc Zn Pt
2 1 2
direct
0.114 0.114 0.000
0.886 0.886 0.000
0.500 0.500 0.000
0.250 0.750 0.500
0.750 0.250 0.500
```

Computed properties:
N(E_F) = 2.04 states/eV per cell
volume = 20.43 Å³/atom
ΔH_f (0 K) = -0.6260 eV/atom

***

A plane-wave DFT calculation with GGA-PBE was carried out for a relaxed ScZn2Pt3 crystal.

```
ScZn2Pt3
1.0
4.459 0.000 0.000
-2.230 3.862 0.000
0.000 0.000 10.951
Sc Zn Pt
2 4 6
direct
0.333 0.667 0.171
0.667 0.333 0.829
0.000 0.000 0.000
0.000 0.000 0.500
0.333 0.667 0.667
0.667 0.333 0.333
0.000 0.000 0.262
0.000 0.000 0.738
0.333 0.667 0.423
0.333 0.667 0.917
0.667 0.333 0.083
0.667 0.333 0.577
```

Computed properties:
N(E_F) = 7.06 states/eV per cell
volume = 15.71 Å³/atom
ΔH_f (0 K) = -0.7868 eV/atom

***

A plane-wave DFT calculation with GGA-PBE was carried out for a relaxed Sc7Zn2Pt2 crystal.

```
Sc7Zn2Pt2
1.0
3.687 -5.061 0.000
3.687 5.061 0.000
0.000 0.000 6.659
Sc Zn Pt
7 2 2
direct
0.000 0.000 0.000
0.000 0.500 0.269
0.000 0.500 0.731
0.500 0.000 0.269
0.500 0.000 0.731
0.500 0.500 0.261
0.500 0.500 0.739
0.172 0.172 0.500
0.828 0.828 0.500
0.287 0.713 0.000
0.713 0.287 0.000
```

Computed properties:
N(E_F) = 13.55 states/eV per cell
volume = 22.59 Å³/atom
ΔH_f (0 K) = -0.4165 eV/atom